[1]
Below is crystalline YAsP at its relaxed geometry, with properties calculated at the GGA-PBE level.

Cell: 4.7239 4.7239 4.7239 Å, 60.00 60.00 60.00°
Positions (direct):
As  0.0000  0.0000  0.0000
P  0.5000  0.5000  0.5000
Y  0.7500  0.7500  0.7500

Output
The calculation puts the energy of formation from the pure elements at -0.377 eV per atom. Its energy above the most stable polymorph in this dataset is 396 meV per atom.

---

[2]
Below is crystalline Y2AsP2 at its relaxed geometry, with properties calculated at the GGA-PBE level.

Cell: 7.6189 7.6189 3.7851 Å, 90.00 90.00 90.00°
Positions (direct):
Y  0.3395  0.8395  0.0000
Y  0.8395  0.6605  0.0000
Y  0.6605  0.1605  0.0000
Y  0.1605  0.3395  0.0000
P  0.1485  0.6485  0.5000
P  0.6485  0.8515  0.5000
P  0.8515  0.3515  0.5000
P  0.3515  0.1485  0.5000
As  0.0000  0.0000  0.0000
As  0.5000  0.5000  0.0000

Output
The calculation puts the energy of formation from the pure elements at -0.869 eV per atom. Its energy above the most stable polymorph in this dataset is 97 meV per atom.

---

Please write out number 2 again, unchanged.
Below is crystalline Y2AsP2 at its relaxed geometry, with properties calculated at the GGA-PBE level.

Cell: 7.6189 7.6189 3.7851 Å, 90.00 90.00 90.00°
Positions (direct):
Y  0.3395  0.8395  0.0000
Y  0.8395  0.6605  0.0000
Y  0.6605  0.1605  0.0000
Y  0.1605  0.3395  0.0000
P  0.1485  0.6485  0.5000
P  0.6485  0.8515  0.5000
P  0.8515  0.3515  0.5000
P  0.3515  0.1485  0.5000
As  0.0000  0.0000  0.0000
As  0.5000  0.5000  0.0000

Output
The calculation puts the energy of formation from the pure elements at -0.869 eV per atom. Its energy above the most stable polymorph in this dataset is 97 meV per atom.

---

Question: What is the energy of formation from the pure elements in the first record?
Answer: -0.377 eV per atom

---

Question: What is the formula in the second record?
Answer: Y2AsP2

---

Repeat the second record exactly.
Below is crystalline Y2AsP2 at its relaxed geometry, with properties calculated at the GGA-PBE level.

Cell: 7.6189 7.6189 3.7851 Å, 90.00 90.00 90.00°
Positions (direct):
Y  0.3395  0.8395  0.0000
Y  0.8395  0.6605  0.0000
Y  0.6605  0.1605  0.0000
Y  0.1605  0.3395  0.0000
P  0.1485  0.6485  0.5000
P  0.6485  0.8515  0.5000
P  0.8515  0.3515  0.5000
P  0.3515  0.1485  0.5000
As  0.0000  0.0000  0.0000
As  0.5000  0.5000  0.0000

Output
The calculation puts the energy of formation from the pure elements at -0.869 eV per atom. Its energy above the most stable polymorph in this dataset is 97 meV per atom.